{
  "formula": "Y4ZnBi",
  "functional": "GGA-PBE",
  "state": "optimized geometry",
  "e_tot_ev_per_atom": -5.555,
  "vol_a3_per_atom": 28.79,
  "e_form_ev_per_fu": -2.32,
  "lattice_angstrom": [[8.593, 0.000, 4.961], [2.864, 8.102, 4.961], [0.000, 0.000, 9.923]],
  "species": ["Y", "Y", "Y", "Y", "Y", "Y", "Y", "Y", "Y", "Y", "Y", "Y", "Y", "Y", "Y", "Y", "Zn", "Zn", "Zn", "Zn", "Bi", "Bi", "Bi", "Bi"],
  "fractional_positions": [[0.366, 0.366, 0.366], [0.901, 0.366, 0.366], [0.366, 0.901, 0.366], [0.366, 0.366, 0.901], [0.560, 0.560, 0.940], [0.940, 0.940, 0.560], [0.560, 0.940, 0.560], [0.940, 0.560, 0.940], [0.940, 0.560, 0.560], [0.560, 0.940, 0.940], [0.185, 0.185, 0.815], [0.815, 0.815, 0.185], [0.185, 0.815, 0.185], [0.815, 0.185, 0.815], [0.815, 0.185, 0.185], [0.185, 0.815, 0.815], [0.153, 0.153, 0.153], [0.542, 0.153, 0.153], [0.153, 0.542, 0.153], [0.153, 0.153, 0.542], [0.595, 0.595, 0.595], [0.214, 0.595, 0.595], [0.595, 0.214, 0.595], [0.595, 0.595, 0.214]]
}


{
  "formula": "TaNiHg",
  "functional": "GGA-PBE",
  "state": "optimized geometry",
  "e_tot_ev_per_atom": -5.851,
  "polymorph_energy_mev_per_atom": 153,
  "vol_a3_per_atom": 16.70,
  "e_form_ev_per_fu": 0.38,
  "lattice_angstrom": [[5.957, -0.024, 0.026], [5.213, 2.883, 0.020], [0.744, 0.196, 2.900]],
  "species": ["Hg", "Ni", "Ta"],
  "fractional_positions": [[0.011, 0.011, 0.989], [0.679, 0.679, 0.321], [0.309, 0.309, 0.691]]
}


{
  "formula": "Y6C3S2",
  "functional": "GGA-PBE",
  "state": "optimized geometry",
  "e_tot_ev_per_atom": -7.818,
  "e_form_raw_ev_per_atom": -1.03,
  "vol_a3_per_atom": 20.48,
  "lattice_angstrom": [[6.128, 0.000, 1.831], [3.064, 5.536, 0.916], [0.232, 0.000, 6.710]],
  "species": ["Y", "Y", "Y", "Y", "Y", "Y", "C", "C", "C", "S", "S"],
  "fractional_positions": [[0.403, 0.661, 0.789], [0.741, 0.000, 0.794], [0.064, 0.339, 0.789], [0.259, 0.000, 0.206], [0.597, 0.339, 0.211], [0.936, 0.661, 0.211], [0.000, 0.000, 0.000], [0.332, 0.337, 0.000], [0.668, 0.663, 0.000], [0.166, 0.668, 0.500], [0.834, 0.332, 0.500]]
}